a) Here is an optimized crystal structure of Ag2Rh from Alexandria. Energies are from PBE.

```
Ag2Rh
1.0
-3.3008 3.3008 2.4575
3.3008 -3.3008 2.4575
3.3008 3.3008 -2.4575
Ag Rh
4 2
direct
0.1532 0.6532 0.8063 Ag
0.3468 0.1532 0.5000 Ag
0.6532 0.8468 0.5000 Ag
0.8468 0.3468 0.1937 Ag
0.2500 0.2500 0.0000 Rh
0.7500 0.7500 0.0000 Rh
```

Calculated values
- crystal system = tetragonal
- DOS(E_F) (states/eV/cell) = 3.54

b) Here is an optimized crystal structure of Ag2Rh from Alexandria. Energies are from PBE.

```
Ag2Rh
1.0
-1.3764 1.3764 13.5190
1.3764 -1.3764 13.5190
1.3764 1.3764 -13.5190
Ag Rh
4 2
direct
0.2965 0.5465 0.7500 Ag
0.4535 0.7035 0.7500 Ag
0.5465 0.2965 0.2500 Ag
0.7035 0.4535 0.2500 Ag
0.1250 0.8750 0.2500 Rh
0.8750 0.1250 0.7500 Rh
```

Calculated values
- crystal system = tetragonal
- DOS(E_F) (states/eV/cell) = 5.55

c) Here is an optimized crystal structure of Ag2Rh from Alexandria. Energies are from PBE.

```
Ag2Rh
1.0
-1.3973 1.3973 6.3353
1.3973 -1.3973 6.3353
1.3973 1.3973 -6.3353
Ag Rh
2 1
direct
0.1633 0.1633 0.0000 Ag
0.8367 0.8367 0.0000 Ag
0.5000 0.5000 0.0000 Rh
```

Calculated values
- crystal system = tetragonal
- DOS(E_F) (states/eV/cell) = 3.01

d) Here is an optimized crystal structure of Ag2Rh from Alexandria. Energies are from PBE.

```
Ag2Rh
1.0
5.3422 -1.4134 0.0000
5.3422 1.4134 0.0000
-1.9643 0.0000 6.5779
Ag Rh
4 2
direct
0.0000 0.0000 0.0000 Ag
0.0473 0.0473 0.6100 Ag
0.3248 0.3248 0.6672 Ag
0.6585 0.6585 0.3340 Ag
0.3738 0.3738 0.2612 Rh
0.7263 0.7263 0.9572 Rh
```

Calculated values
- crystal system = monoclinic
- DOS(E_F) (states/eV/cell) = 6.87

Which one is most stable, and which one is least stable? d) is the most stable of them, while a) is the least stable.

a) Here is an optimized crystal structure of Ag2Rh from Alexandria. Energies are from PBE.

```
Ag2Rh
1.0
-1.3539 2.0957 9.7440
1.3539 -2.0957 9.7440
1.3539 2.0957 -9.7440
Ag Rh
4 2
direct
0.2930 0.0430 0.2500 Ag
0.4364 0.1864 0.2500 Ag
0.5636 0.8136 0.7500 Ag
0.7070 0.9570 0.7500 Ag
0.1375 0.3875 0.7500 Rh
0.8625 0.6125 0.2500 Rh
```

Calculated values
- crystal system = orthorhombic
- DOS(E_F) (states/eV/cell) = 4.90

b) Here is an optimized crystal structure of Ag2Rh from Alexandria. Energies are from PBE.

```
Ag2Rh
1.0
2.8230 0.0000 0.0000
-1.4115 2.4447 0.0000
0.0000 0.0000 7.1410
Ag Rh
2 1
direct
0.3333 0.6667 0.3286 Ag
0.6667 0.3333 0.6714 Ag
0.0000 0.0000 0.0000 Rh
```

Calculated values
- crystal system = trigonal
- DOS(E_F) (states/eV/cell) = 2.97

c) Here is an optimized crystal structure of Ag2Rh from Alexandria. Energies are from PBE.

```
Ag2Rh
1.0
-1.3833 2.0867 4.3029
1.3833 -2.0867 4.3029
1.3833 2.0867 -4.3029
Ag Rh
2 1
direct
0.1646 0.1646 0.0000 Ag
0.8354 0.8354 0.0000 Ag
0.5000 0.5000 0.0000 Rh
```

Calculated values
- crystal system = orthorhombic
- DOS(E_F) (states/eV/cell) = 2.68

Which one is most stable, and which one is least stable? b) is the most stable of them, while a) is the least stable.

a) Here is an optimized crystal structure of Ag2Rh from Alexandria. Energies are from PBE.

```
Ag2Rh
1.0
4.5973 0.0000 0.0000
-2.2987 3.9814 0.0000
0.0000 0.0000 5.5388
Ag Rh
4 2
direct
0.0000 0.0000 0.0000 Ag
0.0000 0.0000 0.5000 Ag
0.3333 0.6667 0.2500 Ag
0.6667 0.3333 0.7500 Ag
0.3333 0.6667 0.7500 Rh
0.6667 0.3333 0.2500 Rh
```

Calculated values
- crystal system = hexagonal
- DOS(E_F) (states/eV/cell) = 9.94

b) Here is an optimized crystal structure of Ag2Rh from Alexandria. Energies are from PBE.

```
Ag2Rh
1.0
4.7461 0.0000 0.0000
0.0000 4.7461 0.0000
0.0000 0.0000 2.7098
Ag Rh
2 1
direct
0.0000 0.5000 0.0000 Ag
0.5000 0.0000 0.0000 Ag
0.0000 0.0000 0.5000 Rh
```

Calculated values
- crystal system = tetragonal
- DOS(E_F) (states/eV/cell) = 1.92

c) Here is an optimized crystal structure of Ag2Rh from Alexandria. Energies are from PBE.

```
Ag2Rh
1.0
6.2859 0.0000 0.0000
0.0000 6.2859 0.0000
0.0000 0.0000 6.2859
Ag Rh
8 4
direct
0.1290 0.1290 0.1290 Ag
0.1290 0.3710 0.6290 Ag
0.3710 0.6290 0.1290 Ag
0.3710 0.8710 0.6290 Ag
0.6290 0.1290 0.3710 Ag
0.6290 0.3710 0.8710 Ag
0.8710 0.6290 0.3710 Ag
0.8710 0.8710 0.8710 Ag
0.0000 0.0000 0.5000 Rh
0.0000 0.5000 0.0000 Rh
0.5000 0.0000 0.0000 Rh
0.5000 0.5000 0.5000 Rh
```

Calculated values
- crystal system = cubic
- DOS(E_F) (states/eV/cell) = 16.02

d) Here is an optimized crystal structure of Ag2Rh from Alexandria. Energies are from PBE.

```
Ag2Rh
1.0
0.0000 3.7436 3.7436
3.7436 0.0000 3.7436
3.7436 3.7436 0.0000
Ag Rh
4 2
direct
0.0000 0.0000 0.0000 Ag
0.0000 0.0000 0.5000 Ag
0.0000 0.5000 0.0000 Ag
0.5000 0.0000 0.0000 Ag
0.3750 0.3750 0.3750 Rh
0.6250 0.6250 0.6250 Rh
```

Calculated values
- crystal system = cubic
- DOS(E_F) (states/eV/cell) = 7.90

Which one is most stable, and which one is least stable? a) is the most stable of them, while c) is the least stable.

a) Here is an optimized crystal structure of Ag5Rh3 from Alexandria. Energies are from PBE.

```
Ag5Rh3
1.0
4.9187 0.0000 0.0000
2.0231 6.7695 0.0000
1.3161 0.3296 8.2345
Ag Rh
10 6
direct
0.0223 0.1997 0.1704 Ag
0.1482 0.7707 0.1621 Ag
0.2395 0.9852 0.5667 Ag
0.3810 0.3069 0.6579 Ag
0.4252 0.3635 0.2924 Ag
0.5748 0.6365 0.7076 Ag
0.6190 0.6931 0.3421 Ag
0.7605 0.0148 0.4333 Ag
0.8518 0.2293 0.8379 Ag
0.9777 0.8003 0.8296 Ag
0.0950 0.6486 0.5088 Rh
0.2868 0.4330 0.9723 Rh
0.3881 0.9875 0.8831 Rh
0.6119 0.0125 0.1169 Rh
0.7132 0.5670 0.0277 Rh
0.9050 0.3514 0.4912 Rh
```

Calculated values
- crystal system = triclinic
- DOS(E_F) (states/eV/cell) = 17.78

b) Here is an optimized crystal structure of Ag5Rh3 from Alexandria. Energies are from PBE.

```
Ag5Rh3
1.0
3.9886 -4.2611 0.0000
3.9886 4.2611 0.0000
0.0000 0.0000 3.8828
Ag Rh
5 3
direct
0.0000 0.0000 0.0000 Ag
0.0000 0.5000 0.0000 Ag
0.2407 0.7593 0.5000 Ag
0.5000 0.0000 0.0000 Ag
0.7593 0.2407 0.5000 Ag
0.2727 0.2727 0.5000 Rh
0.5000 0.5000 0.0000 Rh
0.7273 0.7273 0.5000 Rh
```

Calculated values
- crystal system = orthorhombic
- DOS(E_F) (states/eV/cell) = 7.70

c) Here is an optimized crystal structure of Ag5Rh3 from Alexandria. Energies are from PBE.

```
Ag5Rh3
1.0
7.9057 0.0000 0.0000
-3.9528 6.8465 0.0000
0.0000 0.0000 5.0998
Ag Rh
10 6
direct
0.0000 0.2202 0.2500 Ag
0.0000 0.7798 0.7500 Ag
0.2202 0.0000 0.2500 Ag
0.2202 0.2202 0.7500 Ag
0.3333 0.6667 0.0000 Ag
0.3333 0.6667 0.5000 Ag
0.6667 0.3333 0.0000 Ag
0.6667 0.3333 0.5000 Ag
0.7798 0.0000 0.7500 Ag
0.7798 0.7798 0.2500 Ag
0.0000 0.4188 0.7500 Rh
0.0000 0.5812 0.2500 Rh
0.4188 0.0000 0.7500 Rh
0.4188 0.4188 0.2500 Rh
0.5812 0.0000 0.2500 Rh
0.5812 0.5812 0.7500 Rh
```

Calculated values
- crystal system = hexagonal
- DOS(E_F) (states/eV/cell) = 17.10

Which one is most stable, and which one is least stable? b) is the most stable of them, while c) is the least stable.

a) Here is an optimized crystal structure of AgRuRh from Alexandria. Energies are from PBE.

```
AgRuRh
1.0
0.0000 2.9937 2.9937
2.9937 0.0000 2.9937
2.9937 2.9937 0.0000
Ag Ru Rh
1 1 1
direct
0.0000 0.0000 0.0000 Ag
0.5000 0.5000 0.5000 Ru
0.2500 0.2500 0.2500 Rh
```

Calculated values
- crystal system = cubic
- DOS(E_F) (states/eV/cell) = 3.19

b) Here is an optimized crystal structure of AgRuRh from Alexandria. Energies are from PBE.

```
AgRuRh
1.0
0.0000 2.3450 7.1883
1.3890 0.0000 7.1883
1.3890 2.3450 0.0000
Ag Ru Rh
1 1 1
direct
0.0000 0.0000 0.0000 Ag
0.3261 0.3261 0.6739 Ru
0.6733 0.6733 0.3267 Rh
```

Calculated values
- crystal system = orthorhombic
- DOS(E_F) (states/eV/cell) = 3.50

c) Here is an optimized crystal structure of AgRuRh from Alexandria. Energies are from PBE.

```
AgRuRh
1.0
2.7496 0.0000 0.0000
-1.3748 2.3812 0.0000
0.0000 0.0000 6.9626
Ag Ru Rh
1 1 1
direct
0.0000 0.0000 0.0000 Ag
0.3333 0.6667 0.6506 Ru
0.6667 0.3333 0.3497 Rh
```

Calculated values
- crystal system = trigonal
- DOS(E_F) (states/eV/cell) = 3.34

Which one is most stable, and which one is least stable? c) is the most stable of them, while a) is the least stable.

a) Here is an optimized crystal structure of AgRuRh from Alexandria. Energies are from PBE.

```
AgRuRh
1.0
-1.3846 1.8913 4.4214
1.3846 -1.8913 4.4214
1.3846 1.8913 -4.4214
Ag Ru Rh
1 1 1
direct
0.0000 0.0000 0.0000 Ag
0.3158 0.3158 0.0000 Ru
0.6844 0.6844 0.0000 Rh
```

Calculated values
- crystal system = orthorhombic
- DOS(E_F) (states/eV/cell) = 4.44

b) Here is an optimized crystal structure of AgRuRh from Alexandria. Energies are from PBE.

```
AgRuRh
1.0
4.4726 0.0000 0.0000
-2.2363 3.8734 0.0000
0.0000 0.0000 2.6773
Ag Ru Rh
1 1 1
direct
0.0000 0.0000 0.0000 Ag
0.3333 0.6667 0.5000 Ru
0.6667 0.3333 0.5000 Rh
```

Calculated values
- crystal system = hexagonal
- DOS(E_F) (states/eV/cell) = 4.56

Which one is most stable, and which one is least stable? a) is the most stable of them, while b) is the least stable.

a) Here is an optimized crystal structure of AgRu2Rh2 from Alexandria. Energies are from PBE.

```
AgRu2Rh2
1.0
7.5468 0.0000 0.0000
0.0000 7.5468 0.0000
0.0000 0.0000 2.7258
Ag Ru Rh
2 4 4
direct
0.0000 0.0000 0.0000 Ag
0.5000 0.5000 0.0000 Ag
0.1728 0.3272 0.5000 Ru
0.3272 0.8272 0.5000 Ru
0.6728 0.1728 0.5000 Ru
0.8272 0.6728 0.5000 Ru
0.1220 0.6220 0.0000 Rh
0.3780 0.1220 0.0000 Rh
0.6220 0.8780 0.0000 Rh
0.8780 0.3780 0.0000 Rh
```

Calculated values
- crystal system = tetragonal
- DOS(E_F) (states/eV/cell) = 15.35

b) Here is an optimized crystal structure of AgRu2Rh2 from Alexandria. Energies are from PBE.

```
AgRu2Rh2
1.0
7.5293 0.0000 0.0000
0.0000 7.5293 0.0000
0.0000 0.0000 2.7428
Ag Ru Rh
2 4 4
direct
0.0000 0.0000 0.0000 Ag
0.5000 0.5000 0.0000 Ag
0.1188 0.3812 0.0000 Ru
0.3812 0.8812 0.0000 Ru
0.6188 0.1188 0.0000 Ru
0.8812 0.6188 0.0000 Ru
0.1745 0.6745 0.5000 Rh
0.3255 0.1745 0.5000 Rh
0.6745 0.8255 0.5000 Rh
0.8255 0.3255 0.5000 Rh
```

Calculated values
- crystal system = tetragonal
- DOS(E_F) (states/eV/cell) = 13.29

Which one is most stable, and which one is least stable? b) is the most stable of them, while a) is the least stable.

a) Here is an optimized crystal structure of AgSb2Rh from Alexandria. Energies are from PBE.

```
AgSb2Rh
1.0
4.6950 0.0000 0.0000
0.0000 4.6950 0.0000
0.0000 0.0000 3.6748
Ag Sb Rh
1 2 1
direct
0.0000 0.0000 0.0000 Ag
0.0000 0.5000 0.5000 Sb
0.5000 0.0000 0.5000 Sb
0.5000 0.5000 0.0000 Rh
```

Calculated values
- crystal system = tetragonal
- DOS(E_F) (states/eV/cell) = 2.68

b) Here is an optimized crystal structure of AgSb2Rh from Alexandria. Energies are from PBE.

```
AgSb2Rh
1.0
1.7551 1.0133 8.0771
-1.7551 1.0133 8.0771
0.0000 -2.0266 8.0771
Ag Sb Rh
1 2 1
direct
0.0000 0.0000 0.0000 Ag
0.2398 0.2398 0.2398 Sb
0.7602 0.7602 0.7602 Sb
0.5000 0.5000 0.5000 Rh
```

Calculated values
- crystal system = trigonal
- DOS(E_F) (states/eV/cell) = 2.65

c) Here is an optimized crystal structure of AgSb2Rh from Alexandria. Energies are from PBE.

```
AgSb2Rh
1.0
3.2379 -3.7296 0.0000
3.2379 3.7296 0.0000
0.0000 0.0000 3.3482
Ag Sb Rh
1 2 1
direct
0.0000 0.0000 0.0000 Ag
0.0000 0.5000 0.5000 Sb
0.5000 0.0000 0.5000 Sb
0.5000 0.5000 0.0000 Rh
```

Calculated values
- crystal system = orthorhombic
- DOS(E_F) (states/eV/cell) = 2.53

d) Here is an optimized crystal structure of AgSb2Rh from Alexandria. Energies are from PBE.

```
AgSb2Rh
1.0
0.0000 3.4297 3.4297
3.4297 0.0000 3.4297
3.4297 3.4297 0.0000
Ag Sb Rh
1 2 1
direct
0.0000 0.0000 0.0000 Ag
0.2500 0.2500 0.2500 Sb
0.7500 0.7500 0.7500 Sb
0.5000 0.5000 0.5000 Rh
```

Calculated values
- crystal system = cubic
- DOS(E_F) (states/eV/cell) = 1.41

Which one is most stable, and which one is least stable? b) is the most stable of them, while c) is the least stable.